# 1
NpTl2Ni2Se4 GGA-PBE optimized geometry; SG = C2/m, No. 12; uncorrected formation energy = -0.58 eV/atom; crystal system = monoclinic; energy = -5.378 eV per atom
1.0
7.256 -1.990 0.000
7.256 1.990 0.000
-2.463 0.000 7.657
Np Tl Ni Se
1 2 2 4
Direct
0.000 0.000 0.000
0.138 0.138 0.574
0.862 0.862 0.426
0.314 0.314 0.005
0.686 0.686 0.995
0.199 0.199 0.168
0.473 0.473 0.228
0.527 0.527 0.772
0.801 0.801 0.832



# 2
Y2TlSe GGA-PBE optimized geometry; SG = C2/m, No. 12; relative energy among the computed polymorphs = 0.0 kJ per mole of atoms; uncorrected formation energy = -1.08 eV/atom; crystal system = monoclinic; energy = -5.771 eV per atom
1.0
3.419 -1.971 0.000
3.419 1.971 0.000
-2.262 0.000 8.003
Y Tl Se
2 1 1
Direct
0.238 0.238 0.217
0.762 0.762 0.783
0.000 0.000 0.500
0.500 0.500 0.000



# 3
CsLiMn2 GGA-PBE optimized geometry; SG = Fm-3m, No. 225; crystal system = cubic; energy = -4.057 eV per atom
1.0
0.000 3.872 3.872
3.872 0.000 3.872
3.872 3.872 0.000
Cs Li Mn
1 1 2
Direct
0.000 0.000 0.000
0.500 0.500 0.500
0.250 0.250 0.250
0.750 0.750 0.750



# 4
RbCaRh2 GGA-PBE optimized geometry; SG = I-42d, No. 122; relative energy among the computed polymorphs = 0.0 kJ per mole of atoms; crystal system = tetragonal; energy = -3.852 eV per atom
1.0
-2.453 2.453 9.737
2.453 -2.453 9.737
2.453 2.453 -9.737
Rb Ca Rh
2 2 4
Direct
0.000 0.000 0.000
0.750 0.250 0.500
0.250 0.750 0.500
0.500 0.500 0.000
0.289 0.625 0.164
0.375 0.539 0.664
0.461 0.125 0.836
0.875 0.711 0.336



# 5
SrInAu2 GGA-PBE optimized geometry; SG = Pm, No. 6; crystal system = monoclinic; energy = -3.264 eV per atom
1.0
4.197 0.000 0.000
0.000 4.511 0.000
-2.070 0.000 5.460
Sr In Au
1 1 2
Direct
0.000 0.000 0.000
0.284 0.500 0.570
0.559 0.500 0.118
0.720 0.000 0.449



# 6
La3NdTl3 GGA-PBE optimized geometry; SG = C2/m, No. 12; relative energy among the computed polymorphs = 8.0 kJ per mole of atoms; crystal system = monoclinic; energy = -4.043 eV per atom
1.0
4.084 -5.587 0.000
4.084 5.587 0.000
-0.106 0.000 10.276
La Nd Tl
6 2 6
Direct
0.175 0.825 0.000
0.231 0.769 0.500
0.435 0.435 0.187
0.565 0.565 0.813
0.769 0.231 0.500
0.825 0.175 0.000
0.284 0.284 0.544
0.716 0.716 0.456
0.038 0.038 0.266
0.039 0.485 0.761
0.485 0.039 0.761
0.515 0.961 0.239
0.961 0.515 0.239
0.962 0.962 0.734



Ρ: 8.10 7.10 3.57 4.70 9.58 8.31 (g cm⁻³)